1.
HfCdTc3: optimized geometry, PBE.

As for the space-group type: No. 221. Its excess energy over the best structure of this formula in the dataset is 0 kJ/mol of formula units. The calculation puts the total magnetization at 3.09 μB/cell. Its electronic total energy is -0.247 hartree per atom.

Cell: 4.788 4.788 4.788 Å, 90.00 90.00 90.00°
Element x y z (fractional)
1 Hf 0.000 0.000 0.000
2 Cd 0.500 0.500 0.500
3 Tc 0.000 0.000 0.500
4 Tc 0.000 0.500 0.000
5 Tc 0.500 0.000 0.000

=====

2.
HfTiCdTc: optimized geometry, PBE.

As for the space-group type: No. 216. The calculation puts the total magnetization at 0.00 μB/cell. Its electronic total energy is -0.272 hartree per atom.

Cell: 4.667 4.667 4.667 Å, 60.00 60.00 60.00°
Element x y z (fractional)
1 Hf 0.000 0.000 0.000
2 Ti 0.500 0.500 0.500
3 Cd 0.250 0.250 0.250
4 Tc 0.750 0.750 0.750

=====

3.
HfTiCdTc2: optimized geometry, PBE.

As for the space-group type: No. 123. The calculation puts the total magnetization at 1.00 μB/cell. Its electronic total energy is -0.239 hartree per atom.

Cell: 4.763 4.763 4.880 Å, 90.00 90.00 90.00°
Element x y z (fractional)
1 Hf 0.000 0.000 0.000
2 Ti 0.000 0.000 0.500
3 Cd 0.500 0.500 0.500
4 Tc 0.000 0.500 0.000
5 Tc 0.500 0.000 0.000

=====

4.
HfZrCdTc: optimized geometry, PBE.

As for the space-group type: No. 99. Its excess energy over the best structure of this formula in the dataset is 0 kJ/mol of formula units. The calculation puts the total magnetization at 0.00 μB/cell. Its electronic total energy is -0.284 hartree per atom.

Cell: 3.323 3.323 7.210 Å, 90.00 90.00 90.00°
Element x y z (fractional)
1 Hf 0.000 0.000 0.000
2 Zr 0.000 0.000 0.433
3 Cd 0.500 0.500 0.720
4 Tc 0.500 0.500 0.211

=====

5.
HfZrCdTc: optimized geometry, PBE.

As for the space-group type: No. 216. Its excess energy over the best structure of this formula in the dataset is 55 kJ/mol of formula units. The calculation puts the total magnetization at 0.00 μB/cell. Its electronic total energy is -0.279 hartree per atom.

Cell: 4.794 4.794 4.794 Å, 60.00 60.00 60.00°
Element x y z (fractional)
1 Hf 0.000 0.000 0.000
2 Zr 0.500 0.500 0.500
3 Cd 0.750 0.750 0.750
4 Tc 0.250 0.250 0.250

=====

6.
HfCdTe3: optimized geometry, PBE.

As for the space-group type: No. 221. Its excess energy over the best structure of this formula in the dataset is 0 kJ/mol of formula units. The calculation puts the total magnetization at 0.00 μB/cell. Its electronic total energy is -0.154 hartree per atom.

Cell: 5.578 5.578 5.578 Å, 90.00 90.00 90.00°
Element x y z (fractional)
1 Hf 0.000 0.000 0.000
2 Cd 0.500 0.500 0.500
3 Te 0.000 0.000 0.500
4 Te 0.000 0.500 0.000
5 Te 0.500 0.000 0.000

=====

7.
HfCdTe: optimized geometry, PBE.

As for the space-group type: No. 129. The calculation puts the total magnetization at 0.00 μB/cell. Its electronic total energy is -0.182 hartree per atom.

Cell: 4.007 4.007 8.894 Å, 90.00 90.00 90.00°
Element x y z (fractional)
1 Hf 0.250 0.250 0.222
2 Hf 0.750 0.750 0.778
3 Cd 0.250 0.750 0.500
4 Cd 0.750 0.250 0.500
5 Te 0.250 0.250 0.878
6 Te 0.750 0.750 0.122

=====

8.
HfCd3Te: optimized geometry, PBE.

As for the space-group type: No. 221. The calculation puts the total magnetization at 0.00 μB/cell. Its electronic total energy is -0.086 hartree per atom.

Cell: 5.605 5.605 5.605 Å, 90.00 90.00 90.00°
Element x y z (fractional)
1 Hf 0.000 0.000 0.000
2 Cd 0.000 0.000 0.500
3 Cd 0.000 0.500 0.000
4 Cd 0.500 0.000 0.000
5 Te 0.500 0.500 0.500

=====

9.
Hf2CdTe: optimized geometry, PBE.

As for the space-group type: No. 225. Its excess energy over the best structure of this formula in the dataset is 0 kJ/mol of formula units. The calculation puts the total magnetization at 0.00 μB/cell. Its electronic total energy is -0.221 hartree per atom.

Cell: 4.986 4.986 4.986 Å, 60.00 60.00 60.00°
Element x y z (fractional)
1 Hf 0.250 0.250 0.250
2 Hf 0.750 0.750 0.750
3 Cd 0.000 0.000 0.000
4 Te 0.500 0.500 0.500

=====

10.
Hf2Cd2Te: optimized geometry, PBE.

As for the space-group type: No. 127. Its excess energy over the best structure of this formula in the dataset is 179 kJ/mol of formula units. The calculation puts the total magnetization at 0.00 μB/cell. Its electronic total energy is -0.172 hartree per atom.

Cell: 7.779 7.779 3.835 Å, 90.00 90.00 90.00°
Element x y z (fractional)
1 Hf 0.172 0.328 0.000
2 Hf 0.328 0.828 0.000
3 Hf 0.672 0.172 0.000
4 Hf 0.828 0.672 0.000
5 Cd 0.127 0.627 0.500
6 Cd 0.373 0.127 0.500
7 Cd 0.627 0.873 0.500
8 Cd 0.873 0.373 0.500
9 Te 0.000 0.000 0.500
10 Te 0.500 0.500 0.500

=====

11.
HfCdTe2: optimized geometry, PBE.

As for the space-group type: No. 166. The calculation puts the total magnetization at 0.00 μB/cell. Its electronic total energy is -0.148 hartree per atom.

Cell: 9.392 9.392 9.392 Å, 24.90 24.90 24.90°
Element x y z (fractional)
1 Hf 0.000 0.000 0.000
2 Cd 0.500 0.500 0.500
3 Te 0.100 0.100 0.100
4 Te 0.900 0.900 0.900

=====

12.
Hf2CdTe: optimized geometry, PBE.

As for the space-group type: No. 122. Its excess energy over the best structure of this formula in the dataset is 101 kJ/mol of formula units. The calculation puts the total magnetization at 0.00 μB/cell. Its electronic total energy is -0.211 hartree per atom.

Cell: 11.019 11.019 11.019 Å, 157.48 157.48 32.06°
Element x y z (fractional)
1 Hf 0.122 0.625 0.997
2 Hf 0.375 0.372 0.497
3 Hf 0.628 0.125 0.003
4 Hf 0.875 0.878 0.503
5 Cd 0.250 0.750 0.500
6 Cd 0.500 0.500 0.000
7 Te 0.000 0.000 0.000
8 Te 0.750 0.250 0.500

=====

13.
HfCdTe2: optimized geometry, PBE.

As for the space-group type: No. 166. The calculation puts the total magnetization at 0.00 μB/cell. Its electronic total energy is -0.176 hartree per atom.

Cell: 10.808 10.808 10.808 Å, 20.90 20.90 20.90°
Element x y z (fractional)
1 Hf 0.000 0.000 0.000
2 Cd 0.500 0.500 0.500
3 Te 0.390 0.390 0.390
4 Te 0.610 0.610 0.610

=====

14.
HfCd2Te: optimized geometry, PBE.

As for the space-group type: No. 122. The calculation puts the total magnetization at 0.00 μB/cell. Its electronic total energy is -0.132 hartree per atom.

Cell: 6.578 6.578 6.578 Å, 101.10 101.10 127.95°
Element x y z (fractional)
1 Hf 0.000 0.000 0.000
2 Hf 0.750 0.250 0.500
3 Cd 0.121 0.125 0.496
4 Cd 0.375 0.879 0.004
5 Cd 0.629 0.625 0.504
6 Cd 0.875 0.371 0.996
7 Te 0.250 0.750 0.500
8 Te 0.500 0.500 0.000

=====

15.
HfCdTe2: optimized geometry, PBE.

As for the space-group type: No. 122. The calculation puts the total magnetization at 0.00 μB/cell. Its electronic total energy is -0.163 hartree per atom.

Cell: 7.889 7.889 7.889 Å, 120.13 120.13 89.77°
Element x y z (fractional)
1 Hf 0.000 0.000 0.000
2 Hf 0.750 0.250 0.500
3 Cd 0.250 0.750 0.500
4 Cd 0.500 0.500 0.000
5 Te 0.040 0.625 0.915
6 Te 0.375 0.290 0.415
7 Te 0.710 0.125 0.085
8 Te 0.875 0.960 0.585

=====

16.
Hf2Cd2Te: optimized geometry, PBE.

As for the space-group type: No. 139. Its excess energy over the best structure of this formula in the dataset is 227 kJ/mol of formula units. The calculation puts the total magnetization at 0.00 μB/cell. Its electronic total energy is -0.169 hartree per atom.

Cell: 8.224 8.224 8.224 Å, 151.36 151.36 40.95°
Element x y z (fractional)
1 Hf 0.250 0.750 0.500
2 Hf 0.750 0.250 0.500
3 Cd 0.096 0.096 0.000
4 Cd 0.904 0.904 0.000
5 Te 0.500 0.500 0.000

=====

17.
Hf2Cd2Te: optimized geometry, PBE.

As for the space-group type: No. 127. Its excess energy over the best structure of this formula in the dataset is 0 kJ/mol of formula units. The calculation puts the total magnetization at 0.00 μB/cell. Its electronic total energy is -0.186 hartree per atom.

Cell: 7.291 7.291 4.527 Å, 90.00 90.00 90.00°
Element x y z (fractional)
1 Hf 0.150 0.350 0.000
2 Hf 0.350 0.850 0.000
3 Hf 0.650 0.150 0.000
4 Hf 0.850 0.650 0.000
5 Cd 0.147 0.647 0.500
6 Cd 0.353 0.147 0.500
7 Cd 0.647 0.853 0.500
8 Cd 0.853 0.353 0.500
9 Te 0.000 0.000 0.000
10 Te 0.500 0.500 0.000

=====

18.
HfTiCdTe2: optimized geometry, PBE.

As for the space-group type: No. 123. The calculation puts the total magnetization at 0.00 μB/cell. Its electronic total energy is -0.172 hartree per atom.

Cell: 5.270 5.270 5.144 Å, 90.00 90.00 90.00°
Element x y z (fractional)
1 Hf 0.000 0.000 0.000
2 Ti 0.000 0.000 0.500
3 Cd 0.500 0.500 0.000
4 Te 0.000 0.500 0.500
5 Te 0.500 0.000 0.500

=====

19.
HfTl3Cd2Te6: optimized geometry, PBE.

As for the space-group type: No. 12. The calculation puts the total magnetization at 0.00 μB/cell. Its electronic total energy is -0.130 hartree per atom.

Cell: 7.613 7.613 8.158 Å, 98.99 98.99 120.24°
Element x y z (fractional)
1 Hf 0.000 0.000 0.000
2 Tl 0.167 0.833 0.500
3 Tl 0.500 0.500 0.500
4 Tl 0.833 0.167 0.500
5 Cd 0.335 0.665 0.000
6 Cd 0.665 0.335 0.000
7 Te 0.072 0.390 0.209
8 Te 0.245 0.245 0.785
9 Te 0.390 0.072 0.209
10 Te 0.610 0.928 0.791
11 Te 0.755 0.755 0.215
12 Te 0.928 0.610 0.791

=====

20.
HfV2CdTe: optimized geometry, PBE.

As for the space-group type: No. 123. The calculation puts the total magnetization at 5.66 μB/cell. Its electronic total energy is -0.191 hartree per atom.

Cell: 4.965 4.965 5.230 Å, 90.00 90.00 90.00°
Element x y z (fractional)
1 Hf 0.000 0.000 0.000
2 V 0.000 0.500 0.500
3 V 0.500 0.000 0.500
4 Cd 0.000 0.000 0.500
5 Te 0.500 0.500 0.000